Run w
## Nd2Al3Ag2 (PBE)

Data for crystalline Nd2Al3Ag2 at its relaxed geometry.

Structure (POSCAR):
```
Nd2Al3Ag2
1.0
-2.3709 1.6049 3.5232
3.9599 -4.0694 1.5935
2.8275 6.1919 -0.9179
Al Ag Nd
3 2 2
direct
0.5000 0.0000 0.0000 Al
0.4035 0.8070 0.5724 Al
0.5965 0.1930 0.4276 Al
0.8548 0.7096 0.7471 Ag
0.1452 0.2904 0.2529 Ag
0.1528 0.3056 0.7770 Nd
0.8472 0.6944 0.2230 Nd
```

Computed properties:
DOS at the Fermi energy	4.82	states/eV/cell
calculated density	6288	kg/m³
calculated volume	154.53	Å³ per cell



Run x
## Nd2Al3Ag2 (PBE)

Data for crystalline Nd2Al3Ag2 at its relaxed geometry.

Structure (POSCAR):
```
Nd2Al3Ag2
1.0
4.2856 0.0000 -1.0217
0.0000 7.4868 0.0000
0.0962 0.0000 9.9021
Al Ag Nd
6 4 4
direct
0.4411 0.5761 0.8821 Al
0.5589 0.0761 0.1179 Al
0.4411 0.9239 0.8821 Al
0.7754 0.2500 0.5509 Al
0.2246 0.7500 0.4491 Al
0.5589 0.4239 0.1179 Al
0.6890 0.9450 0.3781 Ag
0.3110 0.4450 0.6219 Ag
0.3110 0.0550 0.6219 Ag
0.6890 0.5550 0.3781 Ag
0.8434 0.7500 0.6867 Nd
0.9452 0.2500 0.8905 Nd
0.0548 0.7500 0.1095 Nd
0.1566 0.2500 0.3133 Nd
```

Computed properties:
DOS at the Fermi energy	11.68	states/eV/cell
calculated density	6103	kg/m³
calculated volume	318.45	Å³ per cell



Relative energies, kJ/mol of atoms: run w 0.0; run x 1.6.



Run w
## NdAlAg4 (PBE)

Data for crystalline NdAlAg4 at its relaxed geometry.

Structure (POSCAR):
```
NdAlAg4
1.0
-4.9957 1.5437 0.9062
-1.5031 -2.6323 -3.7808
1.9868 -6.9961 7.2036
Al Ag Nd
2 8 2
direct
0.5000 0.0000 0.5000 Al
0.0000 0.5000 0.5000 Al
0.9979 0.9268 0.3531 Ag
0.5733 0.1445 0.7890 Ag
0.7842 0.3561 0.2114 Ag
0.2158 0.6439 0.7886 Ag
0.3548 0.4264 0.3527 Ag
0.0021 0.0732 0.6469 Ag
0.6452 0.5736 0.6473 Ag
0.4267 0.8555 0.2110 Ag
0.7721 0.7501 0.0005 Nd
0.2279 0.2499 0.9995 Nd
```

Computed properties:
DOS at the Fermi energy	4.53	states/eV/cell
calculated density	8128	kg/m³
calculated volume	246.25	Å³ per cell



Run x
## NdAlAg4 (PBE)

Data for crystalline NdAlAg4 at its relaxed geometry.

Structure (POSCAR):
```
NdAlAg4
1.0
5.5943 0.0000 0.0000
2.7971 4.8448 0.0000
2.7971 1.6149 4.5677
Ag Nd Al
4 1 1
direct
0.6254 0.6254 0.1237 Ag
0.1237 0.6254 0.6254 Ag
0.6254 0.1237 0.6254 Ag
0.6254 0.6254 0.6254 Ag
0.2500 0.2500 0.2500 Nd
0.0000 0.0000 0.0000 Al
```

Computed properties:
DOS at the Fermi energy	2.01	states/eV/cell
calculated density	8084	kg/m³
calculated volume	123.80	Å³ per cell



Relative energies, kJ/mol of atoms: run w 6.8; run x 0.0.



Run w
## Nd3Al2Ag3 (PBE)

Data for crystalline Nd3Al2Ag3 at its relaxed geometry.

Structure (POSCAR):
```
Nd3Al2Ag3
1.0
4.6376 0.0000 0.0000
-2.3188 5.5155 0.0000
0.0000 0.0000 15.2722
Al Nd Ag
4 6 6
direct
0.2023 0.4045 0.4014 Al
0.2023 0.4045 0.0986 Al
0.7978 0.5955 0.5986 Al
0.7978 0.5955 0.9014 Al
0.0917 0.1833 0.8944 Nd
0.0917 0.1833 0.6056 Nd
0.9083 0.8167 0.3944 Nd
0.3930 0.7860 0.7500 Nd
0.6070 0.2140 0.2500 Nd
0.9083 0.8167 0.1056 Nd
0.3209 0.6417 0.2500 Ag
0.3814 0.7627 0.9595 Ag
0.6186 0.2373 0.4595 Ag
0.6186 0.2373 0.0405 Ag
0.6791 0.3583 0.7500 Ag
0.3814 0.7627 0.5405 Ag
```

Computed properties:
DOS at the Fermi energy	16.48	states/eV/cell
calculated density	6889	kg/m³
calculated volume	390.64	Å³ per cell



Run x
## Nd3Al2Ag3 (PBE)

Data for crystalline Nd3Al2Ag3 at its relaxed geometry.

Structure (POSCAR):
```
Nd3Al2Ag3
1.0
5.8523 0.0000 0.0000
0.0000 8.5172 0.0000
0.0000 0.0000 15.7569
Al Nd Ag
8 12 12
direct
0.3700 0.3995 0.6035 Al
0.1300 0.8995 0.8965 Al
0.8700 0.1005 0.1035 Al
0.6300 0.6005 0.1035 Al
0.1300 0.8995 0.6035 Al
0.3700 0.3995 0.8965 Al
0.8700 0.1005 0.3965 Al
0.6300 0.6005 0.3965 Al
0.6224 0.3126 0.2500 Nd
0.8680 0.5505 0.8935 Nd
0.3776 0.6874 0.7500 Nd
0.8776 0.8126 0.2500 Nd
0.3680 0.9495 0.1065 Nd
0.6320 0.0505 0.6065 Nd
0.3680 0.9495 0.3935 Nd
0.1320 0.4495 0.1065 Nd
0.1320 0.4495 0.3935 Nd
0.6320 0.0505 0.8935 Nd
0.8680 0.5505 0.6065 Nd
0.1224 0.1874 0.7500 Nd
0.6132 0.3356 0.7500 Ag
0.1132 0.1644 0.2500 Ag
0.8871 0.8132 0.0365 Ag
0.8871 0.8132 0.4635 Ag
0.3871 0.6868 0.9635 Ag
0.3868 0.6644 0.2500 Ag
0.6129 0.3132 0.4635 Ag
0.1129 0.1868 0.9635 Ag
0.6129 0.3132 0.0365 Ag
0.1129 0.1868 0.5365 Ag
0.3871 0.6868 0.5365 Ag
0.8868 0.8356 0.7500 Ag
```

Computed properties:
DOS at the Fermi energy	27.44	states/eV/cell
calculated density	6853	kg/m³
calculated volume	785.41	Å³ per cell



Relative energies, kJ/mol of atoms: run w 0.0; run x 1.6.



Run w
## NdAl4Ag (PBE)

Data for crystalline NdAl4Ag at its relaxed geometry.

Structure (POSCAR):
```
NdAl4Ag
1.0
5.8894 0.2396 2.0507
1.3423 6.8308 1.7981
0.2919 0.2396 6.2294
Al Nd Ag
8 2 2
direct
0.1598 0.7462 0.1598 Al
0.2853 0.0000 0.7147 Al
0.7147 0.0000 0.2853 Al
0.8070 0.5604 0.4211 Al
0.4211 0.5604 0.8070 Al
0.1930 0.4396 0.5789 Al
0.5789 0.4396 0.1930 Al
0.8402 0.2538 0.8402 Al
0.8397 0.7780 0.8397 Nd
0.1603 0.2220 0.1603 Nd
0.6082 0.2065 0.6082 Ag
0.3918 0.7935 0.3918 Ag
```

Computed properties:
DOS at the Fermi energy	3.84	states/eV/cell
calculated density	4926	kg/m³
calculated volume	242.76	Å³ per cell



Run x
## NdAl4Ag (PBE)

Data for crystalline NdAl4Ag at its relaxed geometry.

Structure (POSCAR):
```
NdAl4Ag
1.0
5.5498 0.0000 0.0000
2.7749 4.8063 0.0000
2.7749 1.6021 4.5314
Al Nd Ag
4 1 1
direct
0.6258 0.1225 0.6258 Al
0.1225 0.6258 0.6258 Al
0.6258 0.6258 0.6258 Al
0.6258 0.6258 0.1225 Al
0.0000 0.0000 0.0000 Nd
0.2500 0.2500 0.2500 Ag
```

Computed properties:
DOS at the Fermi energy	1.84	states/eV/cell
calculated density	4946	kg/m³
calculated volume	120.87	Å³ per cell



Relative energies, kJ/mol of atoms: run w 0.0; run x 10.2.



Run w
## NdAl4Ag2 (PBE)

Data for crystalline NdAl4Ag2 at its relaxed geometry.

Structure (POSCAR):
```
NdAl4Ag2
1.0
-3.3034 1.0422 -2.3554
-2.4541 -0.0918 3.4011
2.7258 7.7082 -0.4123
Al Ag Nd
4 2 1
direct
0.5000 0.1875 0.3751 Al
0.0000 0.3100 0.6200 Al
0.5000 0.8125 0.6249 Al
0.0000 0.6900 0.3800 Al
0.5000 0.5862 0.1724 Ag
0.5000 0.4138 0.8276 Ag
0.0000 0.0000 0.0000 Nd
```

Computed properties:
DOS at the Fermi energy	1.32	states/eV/cell
calculated density	5588	kg/m³
calculated volume	139.05	Å³ per cell



Run x
## NdAl4Ag2 (PBE)

Data for crystalline NdAl4Ag2 at its relaxed geometry.

Structure (POSCAR):
```
NdAl4Ag2
1.0
1.0554 4.3927 2.5083
1.5423 -0.5079 5.5938
5.6315 1.3611 0.5996
Ag Al Nd
2 4 1
direct
0.8137 0.4401 0.4401 Ag
0.1863 0.5599 0.5599 Ag
0.6720 0.6095 0.0129 Al
0.3280 0.3905 0.9871 Al
0.6720 0.0129 0.6095 Al
0.3280 0.9871 0.3905 Al
0.0000 0.0000 0.0000 Nd
```

Computed properties:
DOS at the Fermi energy	2.85	states/eV/cell
calculated density	5614	kg/m³
calculated volume	138.40	Å³ per cell



Relative energies, kJ/mol of atoms: run w 0.0; run x 2.4.



Run w
## NdTmAlAg (PBE)

Data for crystalline NdTmAlAg at its relaxed geometry.

Structure (POSCAR):
```
NdTmAlAg
1.0
5.2102 0.0000 0.0000
2.6051 4.5121 0.0000
2.6051 1.5040 4.2541
Tm Al Ag Nd
1 1 1 1
direct
0.0000 0.0000 0.0000 Tm
0.7500 0.7500 0.7500 Al
0.2500 0.2500 0.2500 Ag
0.5000 0.5000 0.5000 Nd
```

Computed properties:
DOS at the Fermi energy	3.81	states/eV/cell
calculated density	7439	kg/m³
calculated volume	100.01	Å³ per cell



Run x
## NdTmAlAg (PBE)

Data for crystalline NdTmAlAg at its relaxed geometry.

Structure (POSCAR):
```
NdTmAlAg
1.0
3.5809 0.0000 0.0000
0.0000 3.5809 0.0000
0.0000 0.0000 7.6449
Nd Tm Ag Al
1 1 1 1
direct
0.0000 0.0000 0.8494 Nd
0.0000 0.0000 0.3525 Tm
0.5000 0.5000 0.1374 Ag
0.5000 0.5000 0.5886 Al
```

Computed properties:
DOS at the Fermi energy	3.04	states/eV/cell
calculated density	7589	kg/m³
calculated volume	98.03	Å³ per cell



Relative energies, kJ/mol of atoms: run w 3.7; run x 0.0.



Run w
## AlNiAg (PBE)

Data for crystalline AlNiAg at its relaxed geometry.

Structure (POSCAR):
```
AlNiAg
1.0
2.8287 0.0000 0.0000
-1.4144 2.4492 0.0000
0.0000 0.0000 12.6686
Al Ni Ag
2 2 2
direct
0.2784 0.5568 0.5000 Al
0.6103 0.2206 0.0000 Al
0.6116 0.2232 0.6433 Ni
0.6116 0.2232 0.3567 Ni
0.2774 0.5547 0.1807 Ag
0.2774 0.5547 0.8193 Ag
```

Computed properties:
DOS at the Fermi energy	5.01	states/eV/cell
calculated density	7323	kg/m³
calculated volume	87.77	Å³ per cell



Run x
## AlNiAg (PBE)

Data for crystalline AlNiAg at its relaxed geometry.

Structure (POSCAR):
```
AlNiAg
1.0
4.1342 0.0000 0.0000
2.0671 3.5804 0.0000
2.0671 1.1935 3.3756
Ag Ni Al
1 1 1
direct
0.0000 0.0000 0.0000 Ag
0.7500 0.7500 0.7500 Ni
0.5000 0.5000 0.5000 Al
```

Computed properties:
DOS at the Fermi energy	1.39	states/eV/cell
calculated density	6432	kg/m³
calculated volume	49.97	Å³ per cell



Relative energies, kJ/mol of atoms: run w 0.0; run x 10.9.



Run w
## AlNiAg (PBE)

Data for crystalline AlNiAg at its relaxed geometry.

Structure (POSCAR):
```
AlNiAg
1.0
-1.1908 -3.1781 -2.4453
-0.5252 -3.8142 1.6352
-3.8455 -1.6025 0.3774
Ag Ni Al
1 1 1
direct
0.7500 0.7500 0.7500 Ag
0.5000 0.5000 0.5000 Ni
0.0000 0.0000 0.0000 Al
```

Computed properties:
DOS at the Fermi energy	2.53	states/eV/cell
calculated density	6209	kg/m³
calculated volume	51.76	Å³ per cell



Run x
## AlNiAg (PBE)

Data for crystalline AlNiAg at its relaxed geometry.

Structure (POSCAR):
```
AlNiAg
1.0
5.1323 -0.1485 0.1614
4.3257 2.7665 0.1534
0.8066 0.2310 2.9058
Ag Ni Al
1 1 1
direct
0.0002 0.0001 0.9998 Ag
0.6885 0.6886 0.3115 Ni
0.3113 0.3112 0.6887 Al
```

Computed properties:
DOS at the Fermi energy	1.14	states/eV/cell
calculated density	7522	kg/m³
calculated volume	42.73	Å³ per cell



Relative energies, kJ/mol of atoms: run w 48.4; run x 0.0.



Run w
## Al2NiAg (PBE)

Data for crystalline Al2NiAg at its relaxed geometry.

Structure (POSCAR):
```
Al2NiAg
1.0
-0.2024 -0.4673 -2.7964
1.7932 -2.1925 0.2384
-5.7146 -4.5463 1.1733
Al Ni Ag
2 1 1
direct
0.0000 0.0000 0.0087 Al
0.5000 0.5000 0.2851 Al
0.0000 0.0000 0.4722 Ni
0.5000 0.5000 0.7340 Ag
```

Computed properties:
DOS at the Fermi energy	1.39	states/eV/cell
calculated density	6128	kg/m³
calculated volume	59.76	Å³ per cell



Run x
## Al2NiAg (PBE)

Data for crystalline Al2NiAg at its relaxed geometry.

Structure (POSCAR):
```
Al2NiAg
1.0
4.3641 0.0000 0.0000
2.1821 3.7794 0.0000
2.1821 1.2598 3.5633
Ag Al Ni
1 2 1
direct
0.5000 0.5000 0.5000 Ag
0.2500 0.2500 0.2500 Al
0.0000 0.0000 0.0000 Al
0.7500 0.7500 0.7500 Ni
```

Computed properties:
DOS at the Fermi energy	1.02	states/eV/cell
calculated density	6231	kg/m³
calculated volume	58.77	Å³ per cell



Run y
## Al2NiAg (PBE)

Data for crystalline Al2NiAg at its relaxed geometry.

Structure (POSCAR):
```
Al2NiAg
1.0
-3.0692 3.6860 0.6056
-4.5527 1.0489 1.2435
-0.0285 1.0322 4.2014
Ni Al Ag
1 2 1
direct
0.4917 0.4917 0.5655 Ni
0.9989 0.9989 0.0261 Al
0.7667 0.7667 0.6923 Al
0.2427 0.2427 0.2162 Ag
```

Computed properties:
DOS at the Fermi energy	1.10	states/eV/cell
calculated density	6318	kg/m³
calculated volume	57.96	Å³ per cell



Relative energies, kJ/mol of atoms: run w 10.0; run x 17.9; run y 0.0.



Run w
## Al2NiAg (PBE)

Data for crystalline Al2NiAg at its relaxed geometry.

Structure (POSCAR):
```
Al2NiAg
1.0
-2.1674 -7.5901 -3.1699
0.2291 -7.1164 -4.6540
0.3711 -8.2510 -2.0343
Al Ag Ni
2 1 1
direct
0.5096 0.5096 0.5096 Al
0.9904 0.9904 0.9904 Al
0.7500 0.7500 0.7500 Ag
0.2500 0.2500 0.2500 Ni
```

Computed properties:
DOS at the Fermi energy	1.17	states/eV/cell
calculated density	6202	kg/m³
calculated volume	59.04	Å³ per cell



Run x
## Al2NiAg (PBE)

Data for crystalline Al2NiAg at its relaxed geometry.

Structure (POSCAR):
```
Al2NiAg
1.0
4.4818 -0.0189 0.0292
3.5681 2.7121 0.0292
0.9863 0.3300 4.8229
Al Ni Ag
2 1 1
direct
0.4868 0.4868 0.5270 Al
0.0132 0.0132 0.9730 Al
0.7500 0.7500 0.7500 Ni
0.2500 0.2500 0.2500 Ag
```

Computed properties:
DOS at the Fermi energy	1.75	states/eV/cell
calculated density	6221	kg/m³
calculated volume	58.86	Å³ per cell



Relative energies, kJ/mol of atoms: run w 0.0; run x 0.7.



Run w
## Al2NiAg (PBE)

Data for crystalline Al2NiAg at its relaxed geometry.

Structure (POSCAR):
```
Al2NiAg
1.0
2.9128 0.0000 0.0000
0.0000 2.9128 0.0000
0.0000 0.0000 6.7716
Ni Al Ag
1 2 1
direct
0.5000 0.5000 0.2500 Ni
0.0000 0.0000 0.0409 Al
0.0000 0.0000 0.4591 Al
0.5000 0.5000 0.7500 Ag
```

Computed properties:
DOS at the Fermi energy	1.28	states/eV/cell
calculated density	6374	kg/m³
calculated volume	57.45	Å³ per cell



Run x
## Al2NiAg (PBE)

Data for crystalline Al2NiAg at its relaxed geometry.

Structure (POSCAR):
```
Al2NiAg
1.0
3.9184 0.0000 0.0000
0.0000 3.9184 0.0000
1.9592 1.9592 8.6197
Al Ni Ag
4 2 2
direct
0.1464 0.6250 0.2500 Al
0.6036 0.1250 0.2500 Al
0.8750 0.8536 0.7500 Al
0.3750 0.3964 0.7500 Al
0.2500 0.7500 0.5000 Ni
0.5000 0.5000 0.0000 Ni
0.0000 0.0000 0.0000 Ag
0.7500 0.2500 0.5000 Ag
```

Computed properties:
DOS at the Fermi energy	4.59	states/eV/cell
calculated density	5534	kg/m³
calculated volume	132.35	Å³ per cell



Relative energies, kJ/mol of atoms: run w 0.0; run x 45.4.



Run w
## Al2NiAg (PBE)

Data for crystalline Al2NiAg at its relaxed geometry.

Structure (POSCAR):
```
Al2NiAg
1.0
4.0575 0.0000 0.0000
2.0287 3.5139 0.0000
2.0287 1.1713 4.4797
Al Ag Ni
2 1 1
direct
0.0533 0.0533 0.8400 Al
0.2747 0.2747 0.1760 Al
0.4881 0.4881 0.5358 Ag
0.6839 0.6839 0.9482 Ni
```

Computed properties:
DOS at the Fermi energy	2.31	states/eV/cell
calculated density	5733	kg/m³
calculated volume	63.87	Å³ per cell



Run x
## Al2NiAg (PBE)

Data for crystalline Al2NiAg at its relaxed geometry.

Structure (POSCAR):
```
Al2NiAg
1.0
-2.7872 -0.2266 3.9541
2.0838 -2.3867 3.6628
1.4165 3.5889 -2.9271
Al Ni Ag
2 1 1
direct
0.2500 0.7500 0.5000 Al
0.0000 0.0000 0.0000 Al
0.5000 0.5000 0.0000 Ni
0.7500 0.2500 0.5000 Ag
```

Computed properties:
DOS at the Fermi energy	1.71	states/eV/cell
calculated density	6363	kg/m³
calculated volume	57.55	Å³ per cell



Relative energies, kJ/mol of atoms: run w 2.7; run x 0.0.